<i>
MgBSb2: relaxed, PBE.

Summary:
Density   4.633 g cm⁻³

```
MgBSb2
1.0
6.2877 0.0000 0.0000
0.0000 6.2877 0.0000
3.1439 3.1439 5.0521
Sb Mg B
4 2 2
direct
0.5532 0.1250 0.2500
0.1968 0.6250 0.2500
0.3750 0.4468 0.7500
0.8750 0.8032 0.7500
0.0000 0.0000 0.0000
0.7500 0.2500 0.5000
0.5000 0.5000 0.0000
0.2500 0.7500 0.5000
```


<ii>
MgBSb2: relaxed, PBE.

Summary:
Density   5.503 g cm⁻³

```
MgBSb2
1.0
0.0000 3.4771 3.4771
3.4771 0.0000 3.4771
3.4771 3.4771 0.0000
Sb Mg B
2 1 1
direct
0.2500 0.2500 0.2500
0.7500 0.7500 0.7500
0.5000 0.5000 0.5000
0.0000 0.0000 0.0000
```


Name the most stable of them. <i>.


<i>
Mg14BSb: relaxed, PBE.

Summary:
Density   2.285 g cm⁻³

```
Mg14BSb
1.0
3.1710 -5.4924 0.0000
3.1710 5.4924 0.0000
0.0000 0.0000 9.8661
Mg B Sb
14 1 1
direct
0.9912 0.4956 0.0000
0.0057 0.5029 0.5000
0.5044 0.0088 0.0000
0.4971 0.9943 0.5000
0.5044 0.4956 0.0000
0.4971 0.5029 0.5000
0.1619 0.8381 0.2319
0.1619 0.8381 0.7681
0.1619 0.3238 0.2319
0.1619 0.3238 0.7681
0.6762 0.8381 0.2319
0.6762 0.8381 0.7681
0.6667 0.3333 0.2521
0.6667 0.3333 0.7479
0.0000 0.0000 0.0000
0.0000 0.0000 0.5000
```


<ii>
Mg14BSb: relaxed, PBE.

Summary:
Density   2.217 g cm⁻³

```
Mg14BSb
1.0
3.7778 -5.1823 0.0000
3.7778 5.1823 0.0000
0.0000 0.0000 9.0462
Mg B Sb
14 1 1
direct
0.9240 0.0760 0.0000
0.3929 0.6071 0.0000
0.3451 0.0846 0.5000
0.4597 0.1292 0.0000
0.9154 0.6549 0.5000
0.8708 0.5403 0.0000
0.0564 0.3247 0.3020
0.0564 0.3247 0.6980
0.6753 0.9436 0.3020
0.6753 0.9436 0.6980
0.6019 0.3981 0.2799
0.6019 0.3981 0.7201
0.1459 0.8541 0.2194
0.1459 0.8541 0.7806
0.7491 0.2509 0.5000
0.3840 0.6160 0.5000
```


Name the most stable of them. <ii>.


<i>
MgScB3: relaxed, PBE.

Summary:
Density   2.381 g cm⁻³

```
MgScB3
1.0
4.1394 0.0000 0.0000
0.0000 4.1394 0.0000
0.0000 0.0000 4.1394
Sc Mg B
1 1 3
direct
0.5000 0.5000 0.5000
0.0000 0.0000 0.0000
0.0000 0.5000 0.0000
0.0000 0.0000 0.5000
0.5000 0.0000 0.0000
```


<ii>
MgScB3: relaxed, PBE.

Summary:
Density   2.040 g cm⁻³

```
MgScB3
1.0
4.3583 0.0000 0.0000
0.0000 4.3583 0.0000
0.0000 0.0000 4.3583
Sc Mg B
1 1 3
direct
0.0000 0.0000 0.0000
0.5000 0.5000 0.5000
0.0000 0.5000 0.0000
0.0000 0.0000 0.5000
0.5000 0.0000 0.0000
```


Name the most stable of them. <i>.


<i>
MgB3Se: relaxed, PBE.

Summary:
Density   3.125 g cm⁻³

```
MgB3Se
1.0
4.1621 0.0000 0.0000
0.0000 4.1621 0.0000
0.0000 0.0000 4.1621
Mg B Se
1 3 1
direct
0.5000 0.5000 0.5000
0.0000 0.5000 0.0000
0.0000 0.0000 0.5000
0.5000 0.0000 0.0000
0.0000 0.0000 0.0000
```


<ii>
MgB3Se: relaxed, PBE.

Summary:
Density   2.597 g cm⁻³

```
MgB3Se
1.0
-0.2667 4.2528 1.2009
-3.3934 -0.9678 2.6736
2.8308 -0.7594 3.3181
Mg B Se
1 3 1
direct
0.0000 0.0000 0.0000
0.0000 0.5000 0.0000
0.0000 0.0000 0.5000
0.5000 0.0000 0.0000
0.5000 0.5000 0.5000
```


Name the most stable of them. <i>.


<i>
Mg2SiB2: relaxed, PBE.

Summary:
Density   2.725 g cm⁻³

```
Mg2SiB2
1.0
5.6697 0.0000 0.0000
0.0000 5.6697 0.0000
0.0000 0.0000 3.7274
Si B Mg
2 4 4
direct
0.0000 0.0000 0.0000
0.5000 0.5000 0.0000
0.3950 0.8950 0.0000
0.8950 0.6050 0.0000
0.6050 0.1050 0.0000
0.1050 0.3950 0.0000
0.1807 0.6807 0.5000
0.6807 0.8193 0.5000
0.8193 0.3193 0.5000
0.3193 0.1807 0.5000
```


<ii>
Mg2SiB2: relaxed, PBE.

Summary:
Density   2.368 g cm⁻³

```
Mg2SiB2
1.0
-2.6747 -1.9475 1.9309
2.0722 -3.2020 -0.3589
1.9015 -1.6012 4.8192
Si B Mg
1 2 2
direct
0.0000 0.0000 0.0000
0.4153 0.4153 0.1693
0.5847 0.5847 0.8307
0.7500 0.2500 0.5000
0.2500 0.7500 0.5000
```


Name the most stable of them. <i>.


<i>
Mg6SiB: relaxed, PBE.

Summary:
Density   2.028 g cm⁻³

```
Mg6SiB
1.0
-2.2265 3.7320 4.4274
-4.5515 -4.1580 -0.6944
1.6974 -2.3283 2.8162
Mg Si B
6 1 1
direct
0.5581 0.8147 0.0000
0.1853 0.4419 0.0000
0.6310 0.3690 0.0000
0.9004 0.6638 0.5000
0.3362 0.0996 0.5000
0.8561 0.1439 0.5000
0.0492 0.9508 0.0000
0.4836 0.5164 0.5000
```


<ii>
Mg6SiB: relaxed, PBE.

Summary:
Density   2.046 g cm⁻³

```
Mg6SiB
1.0
-5.0075 -1.5953 -2.9529
3.0149 -4.9286 -1.7201
-1.3455 -1.9956 3.3598
Mg Si B
6 1 1
direct
0.8854 0.6133 0.0000
0.3867 0.1146 0.0000
0.7048 0.9418 0.5000
0.0582 0.2952 0.5000
0.1940 0.8060 0.5000
0.5912 0.4088 0.5000
0.3862 0.6138 0.0000
0.7934 0.2066 0.0000
```


Name the most stable of them. <i>.


<i>
MgSiB: relaxed, PBE.

Summary:
Density   2.471 g cm⁻³

```
MgSiB
1.0
3.4301 -0.0028 0.0378
1.7101 2.9649 -0.0104
1.7409 -0.9882 4.2028
Si B Mg
1 1 1
direct
0.6631 0.7706 0.1322
0.0612 0.0716 0.0399
0.6617 0.2714 0.6401
```


<ii>
MgSiB: relaxed, PBE.

Summary:
Density   2.262 g cm⁻³

```
MgSiB
1.0
4.6739 0.0000 0.0000
0.0000 3.5776 0.0000
-2.3370 -1.7888 5.5499
Mg B Si
2 2 2
direct
0.6386 0.1386 0.2772
0.3614 0.8614 0.7228
0.6735 0.5000 0.0000
0.3265 0.5000 0.0000
0.1199 0.6199 0.2398
0.8801 0.3801 0.7602
```


Name the most stable of them. <i>.


<i>
MgSi2B: relaxed, PBE.

Summary:
Density   2.635 g cm⁻³

```
MgSi2B
1.0
-2.4438 -3.3298 -1.3104
-3.9543 0.7199 -1.6194
-0.7542 -0.6036 -4.2242
Si B Mg
2 1 1
direct
0.2500 0.2500 0.2500
0.7500 0.7500 0.7500
0.0000 0.0000 0.0000
0.5000 0.5000 0.5000
```


<ii>
MgSi2B: relaxed, PBE.

Summary:
Density   2.721 g cm⁻³

```
MgSi2B
1.0
6.7367 0.0000 0.0000
0.0000 6.7367 0.0000
3.3683 3.3683 2.4553
Si B Mg
4 2 2
direct
0.5392 0.1250 0.2500
0.2108 0.6250 0.2500
0.3750 0.4608 0.7500
0.8750 0.7892 0.7500
0.5000 0.5000 0.0000
0.2500 0.7500 0.5000
0.0000 0.0000 0.0000
0.7500 0.2500 0.5000
```


Name the most stable of them. <ii>.


<i>
MgSn3B: relaxed, PBE.

Summary:
Density   5.460 g cm⁻³

```
MgSn3B
1.0
4.9185 0.0000 0.0000
0.0000 4.9185 0.0000
0.0000 0.0000 4.9185
Mg B Sn
1 1 3
direct
0.5000 0.5000 0.5000
0.0000 0.0000 0.0000
0.0000 0.5000 0.0000
0.0000 0.0000 0.5000
0.5000 0.0000 0.0000
```


<ii>
MgSn3B: relaxed, PBE.

Summary:
Density   4.234 g cm⁻³

```
MgSn3B
1.0
5.3535 0.0000 0.0000
0.0000 5.3535 0.0000
0.0000 0.0000 5.3535
Mg B Sn
1 1 3
direct
0.0000 0.0000 0.0000
0.5000 0.5000 0.5000
0.0000 0.5000 0.0000
0.0000 0.0000 0.5000
0.5000 0.0000 0.0000
```


Name the most stable of them. <i>.


<i>
Mg2SnB: relaxed, PBE.

Summary:
Density   3.943 g cm⁻³

```
Mg2SnB
1.0
-2.6582 -2.9563 2.5699
-2.6090 1.6682 3.5806
-4.7177 0.1309 -0.3691
Mg B Sn
2 1 1
direct
0.2500 0.2500 0.2500
0.7500 0.7500 0.7500
0.0000 0.0000 0.0000
0.5000 0.5000 0.5000
```


<ii>
Mg2SnB: relaxed, PBE.

Summary:
Density   3.611 g cm⁻³

```
Mg2SnB
1.0
-4.2063 -1.0731 -0.5938
1.0646 -4.2480 0.1350
-2.7565 -2.6891 8.2208
Mg B Sn
4 2 2
direct
0.5709 0.1250 0.2500
0.1791 0.6250 0.2500
0.3750 0.4291 0.7500
0.8750 0.8209 0.7500
0.5000 0.5000 0.0000
0.2500 0.7500 0.5000
0.0000 0.0000 0.0000
0.7500 0.2500 0.5000
```


Name the most stable of them. <i>.


<i>
SrMg6B: relaxed, PBE.

Summary:
Density   2.126 g cm⁻³

```
SrMg6B
1.0
2.9468 -6.9646 0.0000
2.9468 6.9646 0.0000
0.0000 0.0000 4.6484
Sr Mg B
1 6 1
direct
0.7988 0.2012 0.5000
0.8124 0.7001 0.5000
0.2999 0.1876 0.5000
0.6527 0.8145 0.0000
0.1855 0.3473 0.0000
0.6329 0.3671 0.0000
0.2005 0.7995 0.0000
0.4173 0.5827 0.5000
```


<ii>
SrMg6B: relaxed, PBE.

Summary:
Density   2.116 g cm⁻³

```
SrMg6B
1.0
3.1045 -7.6996 0.0000
3.1045 7.6996 0.0000
0.0000 0.0000 4.0103
Sr Mg B
1 6 1
direct
0.2235 0.7765 0.0000
0.6401 0.8132 0.0000
0.1868 0.3599 0.0000
0.6483 0.3517 0.0000
0.8011 0.7085 0.5000
0.2915 0.1989 0.5000
0.8049 0.1951 0.5000
0.4038 0.5962 0.5000
```


Name the most stable of them. <ii>.


<i>
TbMgB: relaxed, PBE.

Summary:
Density   5.567 g cm⁻³

```
TbMgB
1.0
-0.5008 2.9985 -1.2803
-1.3975 0.3125 -2.9717
-11.0950 0.3901 5.2589
Tb Mg B
2 2 2
direct
0.2958 0.6447 0.4441
0.2956 0.6448 0.1376
0.6284 0.9795 0.6860
0.9613 0.3131 0.8954
0.6290 0.9781 0.2917
0.9624 0.3114 0.2900
```


<ii>
TbMgB: relaxed, PBE.

Summary:
Density   5.157 g cm⁻³

```
TbMgB
1.0
-2.3605 -0.1546 2.9524
2.8969 -4.1564 -0.3254
4.3873 4.1968 3.7275
Tb Mg B
2 2 2
direct
0.1244 0.2487 0.8402
0.8756 0.7513 0.1598
0.3695 0.7390 0.5875
0.6305 0.2610 0.4125
0.5765 0.1530 0.0688
0.4235 0.8470 0.9312
```


Name the most stable of them. <i>.